1.
Density functional theory data (PBE-GGA) for LiPr2Ge4Au3 after structural relaxation.

The structure in CIF format:
```
data_LiPr2Ge4Au3
_chemical_formula_sum 'Li1 Pr2 Ge4 Au3'
_cell_length_a 4.331
_cell_length_b 4.331
_cell_length_c 11.110
_cell_angle_alpha 90.00
_cell_angle_beta 90.00
_cell_angle_gamma 90.00
_symmetry_space_group_name_H-M 'P -4 m 2'
_symmetry_Int_Tables_number 115
loop_
_symmetry_equiv_pos_as_xyz
'x,y,z'
'y,-x,-z'
'-x,-y,z'
'-y,x,-z'
'-x,y,z'
'-y,-x,-z'
'x,-y,z'
'y,x,-z'
loop_
_atom_site_label
_atom_site_type_symbol
_atom_site_fract_x
_atom_site_fract_y
_atom_site_fract_z
Li1 Li 0.000 0.000 0.000
Pr1 Pr 0.000 0.500 0.760
Ge1 Ge 0.000 0.000 0.500
Ge2 Ge 0.000 0.500 0.132
Ge3 Ge 0.500 0.500 0.500
Au1 Au 0.000 0.500 0.360
Au2 Au 0.500 0.500 0.000
```

Results
Calculated density ... 9.32 g cm⁻³
Magnetic moment ... 0.0 μB per formula unit
Formation energy from the elements ... -0.5835 eV/atom

=====

2.
Density functional theory data (PBE-GGA) for ZnCd5Ag4 after structural relaxation.

The structure in CIF format:
```
data_ZnCd5Ag4
_chemical_formula_sum 'Zn2 Cd10 Ag8'
_cell_length_a 15.093
_cell_length_b 4.356
_cell_length_c 7.053
_cell_angle_alpha 90.00
_cell_angle_beta 117.76
_cell_angle_gamma 90.00
_symmetry_space_group_name_H-M 'C 1 2/m 1'
_symmetry_Int_Tables_number 12
loop_
_symmetry_equiv_pos_as_xyz
'x,y,z'
'-x,-y,-z'
'-x,y,-z'
'x,-y,z'
'x+1/2,y+1/2,z'
'-x+1/2,-y+1/2,-z'
'-x+1/2,y+1/2,-z'
'x+1/2,-y+1/2,z'
loop_
_atom_site_label
_atom_site_type_symbol
_atom_site_fract_x
_atom_site_fract_y
_atom_site_fract_z
Zn1 Zn 0.000 0.000 0.000
Cd1 Cd 0.000 0.000 0.500
Cd2 Cd 0.164 0.500 0.628
Cd3 Cd 0.181 0.500 0.237
Ag1 Ag 0.017 0.500 0.795
Ag2 Ag 0.171 0.000 0.933
```

Results
Calculated density ... 8.57 g cm⁻³
Magnetic moment ... 0.0 μB per formula unit
Formation energy from the elements ... -0.0100 eV/atom

=====

3.
Density functional theory data (PBE-GGA) for LaAlCo2 after structural relaxation.

The structure in CIF format:
```
data_LaAlCo2
_chemical_formula_sum 'La3 Al3 Co6'
_cell_length_a 3.0337
_cell_length_b 3.0337
_cell_length_c 26.7344
_cell_angle_alpha 90.00
_cell_angle_beta 90.00
_cell_angle_gamma 120.00
_symmetry_space_group_name_H-M 'R 3 m'
_symmetry_Int_Tables_number 160
_symmetry_space_group_name_Hall 'R 3 -2"'
loop_
_atom_site_label
_atom_site_type_symbol
_atom_site_fract_x
_atom_site_fract_y
_atom_site_fract_z
La1 La 0.0000 0.0000 0.0000
Al1 Al 0.0000 0.0000 0.2257
Co1 Co 0.0000 0.0000 0.4896
Co2 Co 0.0000 0.0000 0.7630
```

Results
Calculated density ... 6.63 g cm⁻³
Magnetic moment ... 3.8 μB per formula unit
Formation energy from the elements ... 0.3864 eV/atom

=====

4.
Density functional theory data (PBE-GGA) for La6Tb12Th after structural relaxation.

The structure in CIF format:
```
data_La6Tb12Th
_chemical_formula_sum 'La18 Tb36 Th3'
_cell_length_a 13.3689
_cell_length_b 13.3689
_cell_length_c 12.8994
_cell_angle_alpha 90.00
_cell_angle_beta 90.00
_cell_angle_gamma 120.00
_symmetry_space_group_name_H-M 'R -3 m'
_symmetry_Int_Tables_number 166
_symmetry_space_group_name_Hall '-R 3 2"'
loop_
_atom_site_label
_atom_site_type_symbol
_atom_site_fract_x
_atom_site_fract_y
_atom_site_fract_z
La1 La 0.0890 0.1780 0.2696
Tb1 Tb 0.0000 0.2612 0.5000
Tb2 Tb 0.0499 0.5249 0.6179
Th1 Th 0.0000 0.0000 0.5000
```

Results
Calculated density ... 7.42 g cm⁻³
Magnetic moment ... 0.0 μB per formula unit
Formation energy from the elements ... 0.1173 eV/atom

=====

5.
Density functional theory data (PBE-GGA) for LiNiSe4 after structural relaxation.

The structure in CIF format:
```
data_LiNiSe4
_chemical_formula_sum 'Li4 Ni4 Se16'
_cell_length_a 8.038
_cell_length_b 8.038
_cell_length_c 8.038
_cell_angle_alpha 90.00
_cell_angle_beta 90.00
_cell_angle_gamma 90.00
_symmetry_space_group_name_H-M 'F -4 3 m'
_symmetry_Int_Tables_number 216
_symmetry_space_group_name_Hall 'F -4 2 3'
loop_
_atom_site_label
_atom_site_type_symbol
_atom_site_fract_x
_atom_site_fract_y
_atom_site_fract_z
Li1 Li 0.000 0.000 0.000
Ni1 Ni 0.250 0.250 0.750
Se1 Se 0.124 0.124 0.376
```

Results
Calculated density ... 4.88 g cm⁻³
Energy relative to the elements, uncorrected ... 0.51 eV per atom
Magnetic moment ... 1.0 μB per formula unit

=====

6.
Density functional theory data (PBE-GGA) for Li2Ca2Ag after structural relaxation.

The structure in CIF format:
```
data_Li2Ca2Ag
_chemical_formula_sum 'Li4 Ca4 Ag2'
_cell_length_a 3.784
_cell_length_b 3.784
_cell_length_c 18.726
_cell_angle_alpha 90.00
_cell_angle_beta 90.00
_cell_angle_gamma 90.00
_symmetry_space_group_name_H-M 'I 4/m m m'
_symmetry_Int_Tables_number 139
_symmetry_space_group_name_Hall '-I 4 2'
loop_
_atom_site_label
_atom_site_type_symbol
_atom_site_fract_x
_atom_site_fract_y
_atom_site_fract_z
Li1 Li 0.000 0.500 0.250
Ca1 Ca 0.000 0.000 0.096
Ag1 Ag 0.000 0.000 0.500
```

Results
Calculated density ... 2.50 g cm⁻³
Magnetic moment ... 0.0 μB per formula unit
Formation energy from the elements ... -0.0615 eV/atom

=====

7.
Density functional theory data (PBE-GGA) for Sn7Ir5 after structural relaxation.

The structure in CIF format:
```
data_Sn7Ir5
_chemical_formula_sum 'Sn14 Ir10'
_cell_length_a 8.658
_cell_length_b 8.658
_cell_length_c 6.550
_cell_angle_alpha 90.00
_cell_angle_beta 90.00
_cell_angle_gamma 90.00
_symmetry_space_group_name_H-M 'I 4 m m'
_symmetry_Int_Tables_number 107
_symmetry_space_group_name_Hall 'I 4 -2'
loop_
_atom_site_label
_atom_site_type_symbol
_atom_site_fract_x
_atom_site_fract_y
_atom_site_fract_z
Sn1 Sn 0.000 0.000 0.000
Sn2 Sn 0.000 0.500 0.015
Sn3 Sn 0.215 0.215 0.609
Ir1 Ir 0.000 0.000 0.600
Ir2 Ir 0.000 0.244 0.277
```

Results
Calculated density ... 12.12 g cm⁻³
Magnetic moment ... 0.0 μB per formula unit
Formation energy from the elements ... -0.2582 eV/atom

=====

8.
Density functional theory data (PBE-GGA) for ZnGa3Te after structural relaxation.

The structure in CIF format:
```
data_ZnGa3Te
_chemical_formula_sum 'Zn1 Ga3 Te1'
_cell_length_a 4.936
_cell_length_b 4.936
_cell_length_c 4.936
_cell_angle_alpha 90.00
_cell_angle_beta 90.00
_cell_angle_gamma 90.00
_symmetry_space_group_name_H-M 'P m -3 m'
_symmetry_Int_Tables_number 221
_symmetry_space_group_name_Hall '-P 4 2 3'
loop_
_atom_site_label
_atom_site_type_symbol
_atom_site_fract_x
_atom_site_fract_y
_atom_site_fract_z
Zn1 Zn 0.000 0.000 0.000
Ga1 Ga 0.000 0.000 0.500
Te1 Te 0.500 0.500 0.500
```

Results
Calculated density ... 5.55 g cm⁻³
Energy relative to the elements, uncorrected ... 0.08 eV per atom
Magnetic moment ... 0.0 μB per formula unit